[1]
Compound: Rb2HoAg2Br6
Source: Alexandria
Functional: PBE
Structure: relaxed Values from VASP.

Results
Formation energy from raw total energies   -1.24 eV per atom
Space-group type   C2/m

Cell and atoms, written as Quantum ESPRESSO input:
```
&SYSTEM
  ibrav = 0, nat = 11, ntyp = 4
/
ATOMIC_SPECIES
Rb 85.47 Rb.upf
Ho 164.93 Ho.upf
Ag 107.87 Ag.upf
Br 79.90 Br.upf
CELL_PARAMETERS angstrom
8.2825 0.0000 0.0000
-4.1412 6.6932 -0.2816
0.0000 -4.0357 7.7901
ATOMIC_POSITIONS angstrom
Rb 4.1412 2.2241 1.1245
Rb 0.0000 0.4334 6.3839
Ho 4.1412 -2.0178 3.8950
Ag 4.1412 2.6799 6.1458
Ag 0.0000 -0.0224 1.3626
Br 4.1412 0.7540 4.2085
Br -1.9245 4.9142 1.5700
Br 2.2168 -2.2567 5.9384
Br 6.0657 -2.2567 5.9384
Br 1.9245 4.9142 1.5700
Br 0.0000 1.9035 3.3000
```


[2]
Compound: TbZn3Ni
Source: Alexandria
Functional: PBE
Structure: relaxed Values from VASP.

Results
Formation enthalpy at 0 K   -1.7 eV per formula unit
Space-group type   P2_1/m

Cell and atoms, written as Quantum ESPRESSO input:
```
&SYSTEM
  ibrav = 0, nat = 10, ntyp = 3
/
ATOMIC_SPECIES
Tb 158.93 Tb.upf
Zn 65.41 Zn.upf
Ni 58.69 Ni.upf
CELL_PARAMETERS angstrom
5.1161 0.2732 0.0000
2.0503 6.2383 0.0000
0.0000 -0.0001 5.4257
ATOMIC_POSITIONS angstrom
Tb 0.6333 0.8242 0.2842
Tb 4.2146 5.3532 2.9971
Zn 5.7703 2.4794 2.9969
Zn 4.1938 3.9712 0.2842
Zn 3.1921 1.9839 4.2950
Zn 3.1921 1.9840 1.6991
Zn 1.6557 4.1934 1.5822
Zn 1.6557 4.1933 4.4119
Ni 4.6396 0.3101 2.9971
Ni 5.3245 6.1405 0.2843
```


[3]
Compound: Pm4Pr2Nd2Dy
Source: Alexandria
Functional: PBE
Structure: relaxed Values from VASP.

Results
Formation enthalpy at 0 K   0.1 eV per formula unit
Space-group type   C2/m

Cell and atoms, written as Quantum ESPRESSO input:
```
&SYSTEM
  ibrav = 0, nat = 9, ntyp = 4
/
ATOMIC_SPECIES
Pm 145.00 Pm.upf
Pr 140.91 Pr.upf
Nd 144.24 Nd.upf
Dy 162.50 Dy.upf
CELL_PARAMETERS angstrom
-0.1872 1.3259 3.4383
-9.4616 -0.6821 -2.2319
4.0869 -8.2633 3.4091
ATOMIC_POSITIONS angstrom
Pm -3.3886 -4.8607 3.6699
Pm -2.1733 -2.7587 0.9456
Pm 0.9050 -2.0631 2.8248
Pm -6.4669 -5.5563 1.7907
Pr -6.3991 -0.0138 -0.3430
Pr 0.8372 -7.6057 4.9585
Nd -5.4667 -2.1117 2.4967
Nd -0.0952 -5.5077 2.1188
Dy 0.0000 0.0000 0.0000
```


[4]
Compound: Ce6Ru2Rh
Source: Alexandria
Functional: PBE
Structure: relaxed Values from VASP.

Results
Formation enthalpy at 0 K   -2.6 eV per formula unit
Space-group type   P2_1/c

Cell and atoms, written as Quantum ESPRESSO input:
```
&SYSTEM
  ibrav = 0, nat = 18, ntyp = 3
/
ATOMIC_SPECIES
Ce 140.12 Ce.upf
Ru 101.07 Ru.upf
Rh 102.91 Rh.upf
CELL_PARAMETERS angstrom
-5.4235 3.2690 -0.4849
-3.1028 -4.4542 4.6746
2.9990 5.6275 7.3527
ATOMIC_POSITIONS angstrom
Ce -6.7551 -0.1263 5.7268
Ce -4.9116 2.9825 6.6822
Ce -3.9839 4.9202 9.6174
Ce -2.3824 4.5060 4.7967
Ce -1.1873 6.8276 7.3290
Ce -4.1688 1.6876 3.6827
Ce 1.2279 4.5686 5.8156
Ce -0.6156 1.4598 4.8601
Ce -1.5433 -0.4779 1.9250
Ce -3.1448 -0.0637 6.7457
Ce -4.3399 -2.3853 4.2134
Ce -1.3584 2.7547 7.8597
Ru -4.0020 5.7974 6.9981
Ru -3.5208 1.9686 9.1584
Ru -2.0064 2.4737 2.3840
Ru -1.5252 -1.3551 4.5443
Rh -4.2631 -0.5926 2.0948
Rh 1.4995 2.8137 3.6764
```


[5]
Compound: Pm7GeS5
Source: Alexandria
Functional: PBE
Structure: relaxed Values from VASP.

Results
Formation energy from raw total energies   -1.72 eV per atom
Space-group type   C2/m

Cell and atoms, written as Quantum ESPRESSO input:
```
&SYSTEM
  ibrav = 0, nat = 26, ntyp = 3
/
ATOMIC_SPECIES
Pm 145.00 Pm.upf
Ge 72.64 Ge.upf
S 32.06 S.upf
CELL_PARAMETERS angstrom
4.0708 -0.0020 0.0000
-2.0387 6.6039 0.0074
0.0000 -0.0309 23.9193
ATOMIC_POSITIONS angstrom
Pm -0.0026 6.1416 5.9873
Pm 2.0347 0.4370 17.9391
Pm 2.0343 1.8110 0.8860
Pm -0.0022 4.7690 23.0412
Pm -0.0022 4.7820 12.8473
Pm 2.0343 1.7951 11.0787
Pm -0.0015 2.4428 4.2478
Pm 2.0335 4.1367 19.6794
Pm 2.0335 4.1438 16.2059
Pm -0.0014 2.4337 7.7204
Pm 2.0327 5.3915 2.6755
Pm -0.0006 1.1882 21.2516
Pm -0.0006 1.1991 14.6299
Pm 2.0327 5.3778 9.2952
Ge 2.0331 3.9983 5.9910
Ge -0.0011 2.5808 17.9373
S 0.0000 0.0045 0.0003
S 2.0333 2.9634 22.2189
S -0.0012 3.6164 1.7081
S 2.0351 0.6105 8.5512
S -0.0030 5.9668 15.3751
S 0.0000 -0.0125 11.9591
S -0.0012 3.6023 10.2609
S 2.0333 2.9749 13.6651
S -0.0030 5.9578 20.5148
S 2.0351 0.6219 3.4121
```


[6]
Compound: La2NiTe
Source: Alexandria
Functional: PBE
Structure: relaxed Values from VASP.

Results
Formation energy from raw total energies   -0.73 eV per atom
Space-group type   P4/mmm

Cell and atoms, written as Quantum ESPRESSO input:
```
&SYSTEM
  ibrav = 0, nat = 4, ntyp = 3
/
ATOMIC_SPECIES
La 138.91 La.upf
Ni 58.69 Ni.upf
Te 127.60 Te.upf
CELL_PARAMETERS angstrom
-2.0197 -3.1155 0.7338
1.8595 -0.4358 3.2678
-5.1349 4.1473 3.4751
ATOMIC_POSITIONS angstrom
La -0.1397 0.1128 0.0945
La -2.4278 1.9608 1.6430
Ni -1.3638 -0.7388 2.8696
Te -3.9312 1.3348 4.6071
```


[7]
Compound: TaCd2P
Source: Alexandria
Functional: PBE
Structure: relaxed Values from VASP.

Results
Formation enthalpy at 0 K   0.1 eV per formula unit
Space-group type   R3m

Cell and atoms, written as Quantum ESPRESSO input:
```
&SYSTEM
  ibrav = 0, nat = 4, ntyp = 3
/
ATOMIC_SPECIES
Cd 112.41 Cd.upf
P 30.97 P.upf
Ta 180.95 Ta.upf
CELL_PARAMETERS angstrom
9.0771 0.0378 0.0223
8.4854 3.2238 0.0223
8.4854 1.5759 2.8125
ATOMIC_POSITIONS angstrom
Cd 0.1517 0.0282 0.0166
Cd 6.3078 1.1714 0.6919
P 12.7399 2.3660 1.3974
Ta 19.8727 3.6906 2.1798
```


[8]
Compound: TaCd2Ru
Source: Alexandria
Functional: PBE
Structure: relaxed Values from VASP.

Results
Formation enthalpy at 0 K   0.7 eV per formula unit
Space-group type   Cm

Cell and atoms, written as Quantum ESPRESSO input:
```
&SYSTEM
  ibrav = 0, nat = 4, ntyp = 3
/
ATOMIC_SPECIES
Cd 112.41 Cd.upf
Ru 101.07 Ru.upf
Ta 180.95 Ta.upf
CELL_PARAMETERS angstrom
-2.4708 1.6444 -4.0034
-4.5311 1.0324 -1.7997
-0.4984 5.0943 0.9490
ATOMIC_POSITIONS angstrom
Cd -0.0243 0.0710 -0.0030
Cd -1.7952 1.8426 -1.1667
Ru -3.6810 4.1000 -2.3028
Ta -5.7500 5.6430 -3.8087
```


[9]
Compound: Dy7Er3In
Source: Alexandria
Functional: PBE
Structure: relaxed Values from VASP.

Results
Formation enthalpy at 0 K   1.3 eV per formula unit
Space-group type   P3m1

Cell and atoms, written as Quantum ESPRESSO input:
```
&SYSTEM
  ibrav = 0, nat = 11, ntyp = 3
/
ATOMIC_SPECIES
Dy 162.50 Dy.upf
Er 167.26 Er.upf
In 114.82 In.upf
CELL_PARAMETERS angstrom
8.4553 0.0000 0.0000
0.0000 6.9312 0.0000
0.0000 -3.4656 6.0026
ATOMIC_POSITIONS angstrom
Dy 1.0263 -1.7166 4.9928
Dy 1.0263 0.0000 2.0195
Dy 0.9366 3.4656 2.0009
Dy 3.7804 5.1675 1.0183
Dy 3.7804 1.7637 1.0183
Dy 3.7804 3.4656 3.9660
Dy 1.0263 1.7166 4.9928
Er 6.6154 1.7391 2.9976
Er 6.6154 3.4656 0.0073
Er 6.6154 5.1921 2.9976
In 3.8191 0.0000 4.0017
```


[10]
Compound: MgTe2Br
Source: Alexandria
Functional: PBE
Structure: relaxed Values from VASP.

Results
Formation energy from raw total energies   -0.03 eV per atom
Space-group type   I-4m2

Cell and atoms, written as Quantum ESPRESSO input:
```
&SYSTEM
  ibrav = 0, nat = 4, ntyp = 3
/
ATOMIC_SPECIES
Br 79.90 Br.upf
Mg 24.30 Mg.upf
Te 127.60 Te.upf
CELL_PARAMETERS angstrom
-4.5494 2.0581 1.8967
0.0065 -3.6400 3.9091
4.2542 3.1513 -0.7083
ATOMIC_POSITIONS angstrom
Br -2.2714 -0.7909 2.9029
Mg -1.2833 2.2092 2.0456
Te 0.0000 0.0000 0.0000
Te 0.9946 -0.6398 3.0518
```


[11]
Compound: HfNb2CdN
Source: Alexandria
Functional: PBE
Structure: relaxed Values from VASP.

Results
Formation energy from raw total energies   1.88 eV per atom
Space-group type   P4/mmm

Cell and atoms, written as Quantum ESPRESSO input:
```
&SYSTEM
  ibrav = 0, nat = 5, ntyp = 4
/
ATOMIC_SPECIES
Nb 92.91 Nb.upf
N 14.01 N.upf
Hf 178.49 Hf.upf
Cd 112.41 Cd.upf
CELL_PARAMETERS angstrom
-4.5962 -2.4334 0.1212
2.3141 -4.2792 1.8424
-0.5692 1.2560 3.6322
ATOMIC_POSITIONS angstrom
Nb 1.1571 -2.1396 0.9212
Nb -2.2981 -1.2167 0.0606
N -0.2846 0.6280 1.8161
Hf -1.4256 -2.7283 2.7979
Cd 0.0000 0.0000 0.0000
```


[12]
Compound: NdMg2Pb4
Source: Alexandria
Functional: PBE
Structure: relaxed Values from VASP.

Results
Formation enthalpy at 0 K   -1.1 eV per formula unit
Space-group type   Cmmm

Cell and atoms, written as Quantum ESPRESSO input:
```
&SYSTEM
  ibrav = 0, nat = 7, ntyp = 3
/
ATOMIC_SPECIES
Nd 144.24 Nd.upf
Mg 24.30 Mg.upf
Pb 207.20 Pb.upf
CELL_PARAMETERS angstrom
-3.0878 2.9809 2.2943
-2.3908 -5.1276 3.4442
4.9616 2.2318 3.7779
ATOMIC_POSITIONS angstrom
Nd -0.2585 0.0426 4.7582
Mg -0.4549 -3.1898 3.5321
Mg 3.0257 0.2941 3.6901
Pb 2.0372 -2.2947 5.7232
Pb 0.5336 -0.6010 1.4990
Pb 0.9369 2.6063 3.0361
Pb -2.7393 -1.0734 2.8693
```


Number 1: calculated total energy -3.259 eV per atom. Number 2: calculated total energy -3.177 eV per atom. Number 3: calculated total energy -4.733 eV per atom. Number 4: calculated total energy -7.123 eV per atom. Number 5: calculated total energy -6.217 eV per atom. Number 6: calculated total energy -5.428 eV per atom. Number 7: calculated total energy -4.742 eV per atom. Number 8: calculated total energy -5.556 eV per atom. Number 9: calculated total energy -4.302 eV per atom. Number 10: calculated total energy -2.416 eV per atom. Number 11: calculated total energy -5.985 eV per atom. Number 12: calculated total energy -3.417 eV per atom.